(1)
A relaxed structure of MnRePt3, computed with GGA-PBE.

POSCAR file:
```
MnRePt3
1.0
4.830 0.000 0.000
0.000 4.830 0.000
0.000 0.000 4.830
Mn Re Pt
1 1 3
direct
0.000 0.000 0.000
0.500 0.500 0.500
0.000 0.500 0.500
0.500 0.000 0.500
0.500 0.500 0.000
```

Space group   Pm-3m, No. 221
Distance to the lowest polymorph of the same formula   0.000 eV/atom



(2)
A relaxed structure of Dy4Ho3Sc4, computed with GGA-PBE.

POSCAR file:
```
Dy4Ho3Sc4
1.0
3.399 0.000 0.000
0.000 5.390 0.000
-1.695 -2.687 17.181
Dy Ho Sc
4 3 4
direct
0.047 0.048 0.094
0.181 0.682 0.364
0.819 0.318 0.636
0.953 0.952 0.906
0.362 0.861 0.723
0.500 0.500 0.000
0.638 0.139 0.277
0.091 0.593 0.184
0.234 0.234 0.468
0.766 0.766 0.532
0.909 0.407 0.816
```

Space group   P-1, No. 2



Asked for energy relative to the elements across the records above, the calculation gives 1.178, 0.069 eV per atom in order.